1.
Entry from Alexandria: a relaxed Dy2OsCl crystal (GGA-PBE).

Lattice parameters (Å, degrees): 3.3459 3.3459 7.9972 90.00 90.00 90.00
With the nearest neighbours (Å) after each atom.
Fractional positions:
Dy 0.0000 0.0000 0.2116  4 Os 2.91
Dy 0.0000 0.0000 0.7884  4 Os 2.91
Os 0.5000 0.5000 0.0000  8 Dy 2.91
Cl 0.5000 0.5000 0.5000  8 Dy 3.30, 4 Cl 3.35

## Properties
Energy relative to the lowest polymorph listed for this composition: 77 meV/atom
ρ: 10.21 g cm⁻³
DFT total energy: -6.401 eV/atom
Volume: 89.5 Å³/f.u.
Uncorrected formation energy: -831 meV per atom


2.
Entry from Alexandria: a relaxed Sb2IrSe crystal (GGA-PBE).

Lattice parameters (Å, degrees): 3.8731 3.8731 7.4082 105.02 105.02 59.60
With the nearest neighbours (Å) after each atom.
Fractional positions:
Sb 0.2382 0.2382 0.2142  3 Ir 2.70, 3 Se 3.01
Sb 0.7618 0.7618 0.7858  3 Ir 2.70, 3 Se 3.01
Ir 0.5000 0.5000 0.0000  6 Sb 2.70
Se 0.0000 0.0000 0.5000  6 Sb 3.01

## Properties
ρ: 9.34 g cm⁻³
DFT total energy: -5.233 eV/atom
Volume: 91.5 Å³/f.u.
Uncorrected formation energy: -86 meV per atom


3.
Entry from Alexandria: a relaxed Dy2Ga9Co3 crystal (GGA-PBE).

Lattice parameters (Å, degrees): 7.3750 7.3750 10.3475 111.06 111.06 59.84
With the nearest neighbours (Å) after each atom.
Fractional positions:
Dy 0.0849 0.2517 0.2505  11 Ga 2.97-3.05
Dy 0.2517 0.0849 0.7505  11 Ga 2.97-3.05
Dy 0.7483 0.9151 0.2495  11 Ga 2.97-3.05
Dy 0.9151 0.7483 0.7495  11 Ga 2.97-3.05
Ga 0.0224 0.8581 0.0715  3 Co 2.50-2.55, 3 Ga 2.74-2.75
Ga 0.1419 0.9776 0.4285  3 Co 2.50-2.55, 3 Ga 2.74-2.75
Ga 0.1910 0.3575 0.5715  3 Co 2.51-2.55, 5 Ga 2.73-2.80
Ga 0.2047 0.5824 0.2512  2 Co 2.51-2.52, 6 Ga 2.73-2.81
Ga 0.3129 0.4820 0.9425  3 Co 2.51-2.56, 4 Ga 2.69-2.81
Ga 0.3575 0.1910 0.0715  3 Co 2.51-2.55, 5 Ga 2.73-2.80
Ga 0.3676 0.6324 0.7500  2 Co 2.53, 6 Ga 2.73-2.82
Ga 0.4176 0.7953 0.2488  2 Co 2.51-2.52, 6 Ga 2.73-2.81
Ga 0.4820 0.3129 0.4425  3 Co 2.51-2.56, 4 Ga 2.69-2.81
Ga 0.5180 0.6871 0.5575  3 Co 2.51-2.56, 4 Ga 2.69-2.81
Ga 0.5824 0.2047 0.7512  2 Co 2.51-2.52, 6 Ga 2.73-2.81
Ga 0.6324 0.3676 0.2500  2 Co 2.53, 6 Ga 2.73-2.82
Ga 0.6425 0.8090 0.9285  3 Co 2.51-2.55, 5 Ga 2.73-2.80
Ga 0.6871 0.5180 0.0575  3 Co 2.51-2.56, 4 Ga 2.69-2.81
Ga 0.7953 0.4176 0.7488  2 Co 2.51-2.52, 6 Ga 2.73-2.81
Ga 0.8090 0.6425 0.4285  3 Co 2.51-2.55, 5 Ga 2.73-2.80
Ga 0.8581 0.0224 0.5715  3 Co 2.50-2.55, 3 Ga 2.74-2.75
Ga 0.9776 0.1419 0.9285  3 Co 2.50-2.55, 3 Ga 2.74-2.75
Co 0.0000 0.5000 0.0000  8 Ga 2.51-2.55
Co 0.1590 0.6703 0.4991  8 Ga 2.50-2.56
Co 0.3297 0.8410 0.0009  8 Ga 2.50-2.56
Co 0.5000 0.0000 0.5000  8 Ga 2.51-2.55
Co 0.6703 0.1590 0.9991  8 Ga 2.50-2.56
Co 0.8410 0.3297 0.5009  8 Ga 2.50-2.56

## Properties
ρ: 8.47 g cm⁻³
DFT total energy: -4.614 eV/atom
Volume: 221.4 Å³/f.u.
E_form: -488 meV/atom


4.
Entry from Alexandria: a relaxed ErAg5Cl8 crystal (GGA-PBE).

Lattice parameters (Å, degrees): 7.5520 7.5520 7.5520 107.40 107.40 113.70
With the nearest neighbours (Å) after each atom.
Fractional positions:
Er 0.0000 0.0000 0.0000  4 Cl 2.63
Ag 0.1731 0.5747 0.9079  3 Cl 2.58-2.65
Ag 0.2500 0.7500 0.5000  4 Cl 2.72
Ag 0.4253 0.3332 0.5984  3 Cl 2.58-2.65
Ag 0.6668 0.2652 0.0921  3 Cl 2.58-2.65
Ag 0.7348 0.8269 0.4016  3 Cl 2.58-2.65
Cl 0.2845 0.1005 0.7838  3 Ag 2.58-2.72
Cl 0.3167 0.5007 0.2162  3 Ag 2.58-2.72
Cl 0.3771 0.0710 0.2512  1 Ag 2.58, 1 Er 2.63
Cl 0.4993 0.7155 0.8160  3 Ag 2.58-2.72
Cl 0.8198 0.1259 0.7488  1 Ag 2.58, 1 Er 2.63
Cl 0.8741 0.6229 0.6938  1 Ag 2.58, 1 Er 2.63
Cl 0.8995 0.6833 0.1840  3 Ag 2.58-2.72
Cl 0.9290 0.1802 0.3062  1 Ag 2.58, 1 Er 2.63

## Properties
ρ: 4.98 g cm⁻³
DFT total energy: -3.311 eV/atom
Volume: 330.2 Å³/f.u.
Uncorrected formation energy: -911 meV per atom


5.
Entry from Alexandria: a relaxed Ga3IBr2 crystal (GGA-PBE).

Lattice parameters (Å, degrees): 10.1391 10.1391 10.1391 154.06 154.06 37.01
With the nearest neighbours (Å) after each atom.
Fractional positions:
Ga 0.0000 0.0000 0.0000  2 Br 3.19, 4 I 3.22
Ga 0.3283 0.3283 0.0000  5 Br 3.12-3.22, 1 I 3.30
Ga 0.6717 0.6717 0.0000  5 Br 3.12-3.22, 1 I 3.30
I 0.5000 0.5000 0.0000  6 Ga 3.22-3.30
Br 0.1660 0.1660 0.0000  6 Ga 3.12-3.22
Br 0.8340 0.8340 0.0000  6 Ga 3.12-3.22

## Properties
ρ: 4.14 g cm⁻³
DFT total energy: -2.787 eV/atom
Volume: 199.1 Å³/f.u.
Uncorrected formation energy: -458 meV per atom


6.
Entry from Alexandria: a relaxed Sc44Ir7 crystal (GGA-PBE).

Lattice parameters (Å, degrees): 14.6581 14.6581 14.6581 60.00 60.00 60.00
With the nearest neighbours (Å) after each atom.
Fractional positions:
Sc 0.0382 0.0382 0.2476  2 Ir 2.81-3.12, 5 Sc 2.99-3.08
Sc 0.0382 0.0382 0.6759  2 Ir 2.81-3.12, 5 Sc 2.99-3.08
Sc 0.0382 0.2476 0.0382  2 Ir 2.81-3.12, 5 Sc 2.99-3.08
Sc 0.0382 0.2476 0.6759  2 Ir 2.81-3.12, 5 Sc 2.99-3.08
Sc 0.0382 0.6759 0.0382  2 Ir 2.81-3.12, 5 Sc 2.99-3.08
Sc 0.0382 0.6759 0.2476  2 Ir 2.81-3.12, 5 Sc 2.99-3.08
Sc 0.0582 0.0582 0.4418  12 Sc 3.17-3.43, 2 Ir 3.30
Sc 0.0582 0.4418 0.0582  12 Sc 3.17-3.43, 2 Ir 3.30
Sc 0.0582 0.4418 0.4418  12 Sc 3.17-3.43, 2 Ir 3.30
Sc 0.0810 0.3063 0.3063  3 Ir 2.94, 6 Sc 3.11-3.26
Sc 0.1064 0.1064 0.8936  2 Ir 2.90, 10 Sc 3.10-3.16
Sc 0.1064 0.8936 0.1064  2 Ir 2.90, 10 Sc 3.10-3.16
Sc 0.1064 0.8936 0.8936  2 Ir 2.90, 10 Sc 3.10-3.16
Sc 0.1298 0.3415 0.7644  1 Ir 2.68
Sc 0.1298 0.7644 0.3415  1 Ir 2.68
Sc 0.1298 0.7644 0.7644  1 Ir 2.68
Sc 0.1404 0.5361 0.5361  10 Sc 3.04-3.37
Sc 0.1404 0.5361 0.7875  10 Sc 3.04-3.37
Sc 0.1404 0.7875 0.5361  10 Sc 3.04-3.37
Sc 0.2476 0.0382 0.0382  2 Ir 2.81-3.12, 5 Sc 2.99-3.08
Sc 0.2476 0.0382 0.6759  2 Ir 2.81-3.12, 5 Sc 2.99-3.08
Sc 0.2476 0.6759 0.0382  2 Ir 2.81-3.12, 5 Sc 2.99-3.08
Sc 0.2715 0.2715 0.5476  6 Sc 2.95-3.16, 2 Ir 3.02-3.13
Sc 0.2715 0.2715 0.9094  6 Sc 2.95-3.16, 2 Ir 3.02-3.13
Sc 0.2715 0.5476 0.2715  6 Sc 2.95-3.16, 2 Ir 3.02-3.13
Sc 0.2715 0.5476 0.9094  6 Sc 2.95-3.16, 2 Ir 3.02-3.13
Sc 0.2715 0.9094 0.2715  6 Sc 2.95-3.16, 2 Ir 3.02-3.13
Sc 0.2715 0.9094 0.5476  6 Sc 2.95-3.16, 2 Ir 3.02-3.13
Sc 0.3063 0.0810 0.3063  3 Ir 2.94, 6 Sc 3.11-3.26
Sc 0.3063 0.3063 0.0810  3 Ir 2.94, 6 Sc 3.11-3.26
Sc 0.3063 0.3063 0.3063  3 Ir 2.94, 6 Sc 3.11-3.26
Sc 0.3220 0.5593 0.5593  3 Ir 2.70
Sc 0.3415 0.1298 0.7644  1 Ir 2.68
Sc 0.3415 0.7644 0.1298  1 Ir 2.68
Sc 0.3415 0.7644 0.7644  1 Ir 2.68
Sc 0.4135 0.4135 0.4135  6 Sc 2.95-3.13, 3 Ir 2.95
Sc 0.4135 0.4135 0.7594  6 Sc 2.95-3.13, 3 Ir 2.95
Sc 0.4135 0.7594 0.4135  6 Sc 2.95-3.13, 3 Ir 2.95
Sc 0.4418 0.0582 0.0582  12 Sc 3.17-3.43, 2 Ir 3.30
Sc 0.4418 0.0582 0.4418  12 Sc 3.17-3.43, 2 Ir 3.30
Sc 0.4418 0.4418 0.0582  12 Sc 3.17-3.43, 2 Ir 3.30
Sc 0.4743 0.6995 0.9131  1 Ir 2.79, 3 Sc 2.99-3.13
Sc 0.4743 0.9131 0.6995  1 Ir 2.79, 3 Sc 2.99-3.13
Sc 0.4743 0.9131 0.9131  1 Ir 2.79, 3 Sc 2.99-3.13
Sc 0.5361 0.1404 0.5361  10 Sc 3.04-3.37
Sc 0.5361 0.1404 0.7875  10 Sc 3.04-3.37
Sc 0.5361 0.5361 0.1404  10 Sc 3.04-3.37
Sc 0.5361 0.5361 0.7875  10 Sc 3.04-3.37
Sc 0.5361 0.7875 0.1404  10 Sc 3.04-3.37
Sc 0.5361 0.7875 0.5361  10 Sc 3.04-3.37
Sc 0.5476 0.2715 0.2715  6 Sc 2.95-3.16, 2 Ir 3.02-3.13
Sc 0.5476 0.2715 0.9094  6 Sc 2.95-3.16, 2 Ir 3.02-3.13
Sc 0.5476 0.9094 0.2715  6 Sc 2.95-3.16, 2 Ir 3.02-3.13
Sc 0.5593 0.3220 0.5593  3 Ir 2.70
Sc 0.5593 0.5593 0.3220  3 Ir 2.70
Sc 0.5593 0.5593 0.5593  3 Ir 2.70
Sc 0.6759 0.0382 0.0382  2 Ir 2.81-3.12, 5 Sc 2.99-3.08
Sc 0.6759 0.0382 0.2476  2 Ir 2.81-3.12, 5 Sc 2.99-3.08
Sc 0.6759 0.2476 0.0382  2 Ir 2.81-3.12, 5 Sc 2.99-3.08
Sc 0.6899 0.6899 0.6899  12 Sc 3.22-3.52
Sc 0.6899 0.6899 0.9302  12 Sc 3.22-3.52
Sc 0.6899 0.9302 0.6899  12 Sc 3.22-3.52
Sc 0.6995 0.4743 0.9131  1 Ir 2.79, 3 Sc 2.99-3.13
Sc 0.6995 0.9131 0.4743  1 Ir 2.79, 3 Sc 2.99-3.13
Sc 0.6995 0.9131 0.9131  1 Ir 2.79, 3 Sc 2.99-3.13
Sc 0.7594 0.4135 0.4135  6 Sc 2.95-3.13, 3 Ir 2.95
Sc 0.7644 0.1298 0.3415  1 Ir 2.68
Sc 0.7644 0.1298 0.7644  1 Ir 2.68
Sc 0.7644 0.3415 0.1298  1 Ir 2.68
Sc 0.7644 0.3415 0.7644  1 Ir 2.68
Sc 0.7644 0.7644 0.1298  1 Ir 2.68
Sc 0.7644 0.7644 0.3415  1 Ir 2.68
Sc 0.7875 0.1404 0.5361  10 Sc 3.04-3.37
Sc 0.7875 0.5361 0.1404  10 Sc 3.04-3.37
Sc 0.7875 0.5361 0.5361  10 Sc 3.04-3.37
Sc 0.8936 0.1064 0.1064  2 Ir 2.90, 10 Sc 3.10-3.16
Sc 0.8936 0.1064 0.8936  2 Ir 2.90, 10 Sc 3.10-3.16
Sc 0.8936 0.8936 0.1064  2 Ir 2.90, 10 Sc 3.10-3.16
Sc 0.9094 0.2715 0.2715  6 Sc 2.95-3.16, 2 Ir 3.02-3.13
Sc 0.9094 0.2715 0.5476  6 Sc 2.95-3.16, 2 Ir 3.02-3.13
Sc 0.9094 0.5476 0.2715  6 Sc 2.95-3.16, 2 Ir 3.02-3.13
Sc 0.9131 0.4743 0.6995  1 Ir 2.79, 3 Sc 2.99-3.13
Sc 0.9131 0.4743 0.9131  1 Ir 2.79, 3 Sc 2.99-3.13
Sc 0.9131 0.6995 0.4743  1 Ir 2.79, 3 Sc 2.99-3.13
Sc 0.9131 0.6995 0.9131  1 Ir 2.79, 3 Sc 2.99-3.13
Sc 0.9131 0.9131 0.4743  1 Ir 2.79, 3 Sc 2.99-3.13
Sc 0.9131 0.9131 0.6995  1 Ir 2.79, 3 Sc 2.99-3.13
Sc 0.9302 0.6899 0.6899  12 Sc 3.22-3.52
Ir 0.1689 0.1689 0.1689  9 Sc 2.81-3.13
Ir 0.1689 0.1689 0.4934  9 Sc 2.81-3.13
Ir 0.1689 0.4934 0.1689  9 Sc 2.81-3.13
Ir 0.2966 0.9011 0.9011  9 Sc 2.79-3.12
Ir 0.3409 0.3409 0.6591  6 Sc 2.68-2.95
Ir 0.3409 0.6591 0.3409  6 Sc 2.68-2.95
Ir 0.3409 0.6591 0.6591  6 Sc 2.68-2.95
Ir 0.4934 0.1689 0.1689  9 Sc 2.81-3.13
Ir 0.6591 0.3409 0.3409  6 Sc 2.68-2.95
Ir 0.6591 0.3409 0.6591  6 Sc 2.68-2.95
Ir 0.6591 0.6591 0.3409  6 Sc 2.68-2.95
Ir 0.9011 0.2966 0.9011  9 Sc 2.79-3.12
Ir 0.9011 0.9011 0.2966  9 Sc 2.79-3.12
Ir 0.9011 0.9011 0.9011  9 Sc 2.79-3.12

## Properties
ρ: 4.96 g cm⁻³
DFT total energy: -7.049 eV/atom
Volume: 1113.5 Å³/f.u.
E_form: -370 meV/atom


7.
Entry from Alexandria: a relaxed Ho2TmTh6 crystal (GGA-PBE).

Lattice parameters (Å, degrees): 8.7104 8.7104 8.7104 47.25 47.25 47.25
With the nearest neighbours (Å) after each atom.
Fractional positions:
Ho 0.0000 0.0000 0.0000  9 Th 3.55-3.77, 1 Ho 3.91
Ho 0.1690 0.1690 0.1690  9 Th 3.54-3.73, 1 Ho 3.91
Tm 0.4194 0.4194 0.4194  6 Th 3.26
Th 0.1773 0.7015 0.7015  1 Tm 3.26, 4 Th 3.32-3.36, 2 Ho 3.54
Th 0.4672 0.4672 0.9854  1 Tm 3.26, 6 Th 3.36-3.62, 2 Ho 3.55
Th 0.4672 0.9854 0.4672  1 Tm 3.26, 6 Th 3.36-3.62, 2 Ho 3.55
Th 0.7015 0.1773 0.7015  1 Tm 3.26, 4 Th 3.32-3.36, 2 Ho 3.54
Th 0.7015 0.7015 0.1773  1 Tm 3.26, 4 Th 3.32-3.36, 2 Ho 3.54
Th 0.9854 0.4672 0.4672  1 Tm 3.26, 6 Th 3.36-3.62, 2 Ho 3.55

## Properties
Energy relative to the lowest polymorph listed for this composition: 328 meV/atom
ρ: 9.63 g cm⁻³
DFT total energy: -6.007 eV/atom
Volume: 325.9 Å³/f.u.
E_form: 454 meV/atom


8.
Entry from Alexandria: a relaxed Bi2PtRhI crystal (GGA-PBE).

Lattice parameters (Å, degrees): 5.4265 5.4265 5.0966 90.00 90.00 90.00
With the nearest neighbours (Å) after each atom.
Fractional positions:
Bi 0.0000 0.5000 0.0000  2 Pt 2.71
Bi 0.5000 0.0000 0.0000  2 Pt 2.71
Pt 0.0000 0.0000 0.0000  2 Rh 2.55, 4 Bi 2.71
Rh 0.0000 0.0000 0.5000  2 Pt 2.55
I 0.5000 0.5000 0.5000  8 Bi 3.72, 4 Rh 3.84

## Properties
ρ: 9.33 g cm⁻³
DFT total energy: -3.887 eV/atom
Volume: 150.1 Å³/f.u.
Uncorrected formation energy: 653 meV per atom


9.
Entry from Alexandria: a relaxed Fe4NiRh3 crystal (GGA-PBE).

Lattice parameters (Å, degrees): 7.6915 7.6915 7.6915 151.59 151.59 40.62
With the nearest neighbours (Å) after each atom.
Fractional positions:
Fe 0.1222 0.6222 0.5000  2 Ni 2.58, 6 Rh 2.58-2.65, 4 Fe 2.67
Fe 0.3778 0.8778 0.5000  2 Ni 2.58, 6 Rh 2.58-2.65, 4 Fe 2.67
Fe 0.6222 0.1222 0.5000  2 Ni 2.58, 6 Rh 2.58-2.65, 4 Fe 2.67
Fe 0.8778 0.3778 0.5000  2 Ni 2.58, 6 Rh 2.58-2.65, 4 Fe 2.67
Ni 0.0000 0.0000 0.0000  8 Fe 2.58, 4 Rh 2.67
Rh 0.2512 0.2512 0.0000  8 Fe 2.63-2.65, 4 Rh 2.67
Rh 0.5000 0.5000 0.0000  8 Fe 2.58, 4 Ni 2.67
Rh 0.7488 0.7488 0.0000  8 Fe 2.63-2.65, 4 Rh 2.67

## Properties
ρ: 9.54 g cm⁻³
DFT total energy: -7.721 eV/atom
Volume: 102.8 Å³/f.u.
E_form: -10 meV/atom